1.
# Ac2GaAs3Rh4

A relaxed Ac2GaAs3Rh4 crystal (PBE-GGA, the Alexandria database).

Values from the calculation:
- energy of formation from the pure elements (meV/atom) = -901.6
- DOS(E_F) (states/eV per cell) = 7.872
- space group = P-4m2

Cell: 4.361 4.361 10.338 Å, 90.00 90.00 90.00°
Last column: magnetic moment on the atom in μB.
Element x y z (fractional)
Ac1 0.500 0.000 0.254  0.00
Ac2 0.000 0.500 0.746  0.00
As1 0.500 0.000 0.869  0.01
As2 0.000 0.000 0.500  0.00
As3 0.000 0.500 0.131  0.01
Rh1 0.000 0.500 0.374  0.00
Rh2 0.500 0.500 0.000  0.07
Rh3 0.000 0.000 0.000  0.07
Rh4 0.500 0.000 0.626  0.00
Ga1 0.500 0.500 0.500  0.00



2.
# Ac4GaAsSe2

A relaxed Ac4GaAsSe2 crystal (PBE-GGA, the Alexandria database).

Values from the calculation:
- DOS(E_F) (states/eV per cell) = 3.413
- space group = P2/m
- formation energy from raw total energies (eV/f.u.) = -11.39

Cell: 4.486 7.900 7.946 Å, 70.95 90.00 90.00°
Element x y z (fractional)
Ac1 0.500 0.255 0.750
Ac2 0.500 0.745 0.250
Ac3 0.000 0.259 0.247
Ac4 0.000 0.741 0.753
Se1 0.500 0.000 0.500
Se2 0.000 0.000 0.000
As1 0.500 0.500 0.000
Ga1 0.000 0.500 0.500



3.
# AcGdAs

A relaxed AcGdAs crystal (PBE-GGA, the Alexandria database).

Values from the calculation:
- energy of formation from the pure elements (meV/atom) = -736.2
- DOS(E_F) (states/eV per cell) = 2.768
- excess energy over the best structure of this formula in the dataset (meV/atom) = 0
- space group = I4mm

Cell: 3.914 3.914 6.621 Å, 107.19 107.19 90.00°
Last column: magnetic moment on the atom in μB.
Element x y z (fractional)
Ac1 0.013 0.013 0.026  0.17
Gd1 0.292 0.292 0.584  7.26
As1 0.695 0.695 0.390  -0.01



4.
# AcGdAs

A relaxed AcGdAs crystal (PBE-GGA, the Alexandria database).

Values from the calculation:
- energy of formation from the pure elements (meV/atom) = -614.6
- DOS(E_F) (states/eV per cell) = 4.042
- excess energy over the best structure of this formula in the dataset (meV/atom) = 122
- space group = P3m1

Cell: 4.527 4.923 4.923 Å, 120.00 90.00 90.00°
Last column: magnetic moment on the atom in μB.
Element x y z (fractional)
Ac1 0.678 0.667 0.333  0.09
Gd1 0.177 0.333 0.667  7.23
As1 0.145 0.000 0.000  -0.02



5.
# AcGd2As

A relaxed AcGd2As crystal (PBE-GGA, the Alexandria database).

Values from the calculation:
- energy of formation from the pure elements (meV/atom) = -502.9
- DOS(E_F) (states/eV per cell) = 6.578
- space group = R-3m

Cell: 3.910 3.910 10.968 Å, 79.73 79.73 60.00°
Last column: magnetic moment on the atom in μB.
Element x y z (fractional)
Gd1 0.114 0.114 0.659  7.16
Gd2 0.886 0.886 0.341  7.16
As1 0.500 0.500 0.500  -0.05
Ac1 0.000 0.000 0.000  0.13



6.
# AcGdAsPd

A relaxed AcGdAsPd crystal (PBE-GGA, the Alexandria database).

Values from the calculation:
- energy of formation from the pure elements (meV/atom) = -848.6
- DOS(E_F) (states/eV per cell) = 5.848
- space group = F-43m

Cell: 5.260 5.260 5.260 Å, 60.00 60.00 60.00°
Last column: magnetic moment on the atom in μB.
Element x y z (fractional)
Gd1 0.750 0.750 0.750  7.15
Pd1 0.500 0.500 0.500  0.04
Ac1 0.250 0.250 0.250  0.11
As1 0.000 0.000 0.000  -0.04



7.
# AcGdAsPt

A relaxed AcGdAsPt crystal (PBE-GGA, the Alexandria database).

Values from the calculation:
- energy of formation from the pure elements (meV/atom) = -992.7
- DOS(E_F) (states/eV per cell) = 5.705
- space group = F-43m

Cell: 5.249 5.249 5.249 Å, 60.00 60.00 60.00°
Last column: magnetic moment on the atom in μB.
Element x y z (fractional)
Gd1 0.000 0.000 0.000  7.05
As1 0.250 0.250 0.250  -0.03
Pt1 0.750 0.750 0.750  0.00
Ac1 0.500 0.500 0.500  0.07



8.
# AcGeAs2

A relaxed AcGeAs2 crystal (PBE-GGA, the Alexandria database).

Values from the calculation:
- energy of formation from the pure elements (meV/atom) = -409.8
- DOS(E_F) (states/eV per cell) = 1.826
- excess energy over the best structure of this formula in the dataset (meV/atom) = 100
- space group = P4/mmm

Cell: 3.956 3.956 6.243 Å, 90.00 90.00 90.00°
Element x y z (fractional)
Ac1 0.500 0.500 0.500
As1 0.000 0.000 0.213
As2 0.000 0.000 0.787
Ge1 0.500 0.500 0.000